DFT (PBE-GGA) results for Sr2CuBiO4 after structural relaxation.

Cell: 6.0696 3.6002 6.2033 Å, 90.00 110.77 90.00°
With the nearest neighbours (Å) after each atom.
Space group P2/m (No. 10)
One atom of each set of equivalent atoms:
Sr1 0.0000 0.0000 0.0000 (multiplicity 1)  6 O 2.47-2.53
Sr2 0.0000 0.5000 0.5000 (multiplicity 1)  6 O 2.54-2.62
Cu1 0.5000 0.0000 0.5000 (multiplicity 1)  6 O 2.48-2.58
Bi1 0.5000 0.5000 0.0000 (multiplicity 1)  6 O 2.43-2.47
O1 0.2524 0.0000 0.7630 (multiplicity 2)  2 Bi 2.47, 3 Sr 2.47-2.54, 1 Cu 2.58
O2 0.2645 0.5000 0.2456 (multiplicity 2)  1 Bi 2.43, 2 Cu 2.48, 3 Sr 2.53-2.62

Output
* N(E_F): 1.15 states/eV/f.u.
* formation energy without anion corrections: -1.621 eV per atom